No. 1
VASP calculation (PBE) on a geometry-optimized TbInRuPt structure.

```
TbInRuPt
1.0
0.000 3.354 3.354
3.354 0.000 3.354
3.354 3.354 0.000
Tb In Ru Pt
1 1 1 1
direct
0.000 0.000 0.000
0.500 0.500 0.500
0.250 0.250 0.250
0.750 0.750 0.750
```

Output
- N(E_F) (states/eV per cell) = 0.8
- ΔH_f (0 K) (eV per atom) = -0.54
- crystal system = cubic


No. 2
VASP calculation (PBE) on a geometry-optimized Tm7TlIn4 structure.

```
Tm7TlIn4
1.0
7.130 -2.818 0.000
7.130 2.818 0.000
-6.742 0.000 8.783
Tm Tl In
7 1 4
direct
0.000 0.000 0.000
0.156 0.156 0.590
0.285 0.285 0.132
0.428 0.428 0.673
0.572 0.572 0.327
0.715 0.715 0.868
0.844 0.844 0.410
0.500 0.500 0.000
0.066 0.066 0.776
0.205 0.205 0.340
0.795 0.795 0.660
0.934 0.934 0.224
```

Output
- N(E_F) (states/eV per cell) = 12.0
- ΔH_f (0 K) (eV per atom) = -0.11
- crystal system = monoclinic


No. 3
VASP calculation (PBE) on a geometry-optimized Y2Er6TmSc structure.

```
Y2Er6TmSc
1.0
4.482 -7.354 0.000
4.482 7.354 0.000
-1.194 0.000 9.271
Y Er Tm Sc
4 12 2 2
direct
0.198 0.300 0.454
0.300 0.198 0.954
0.700 0.802 0.046
0.802 0.700 0.546
0.008 0.792 0.884
0.067 0.509 0.690
0.208 0.992 0.616
0.252 0.627 0.057
0.373 0.748 0.443
0.491 0.933 0.810
0.509 0.067 0.190
0.627 0.252 0.557
0.748 0.373 0.943
0.792 0.008 0.384
0.933 0.491 0.310
0.992 0.208 0.116
0.478 0.522 0.750
0.522 0.478 0.250
0.088 0.912 0.250
0.912 0.088 0.750
```

Output
- N(E_F) (states/eV per cell) = 26.1
- ΔH_f (0 K) (eV per atom) = 0.13
- crystal system = monoclinic


No. 4
VASP calculation (PBE) on a geometry-optimized Ba4FeOs structure.

```
Ba4FeOs
1.0
0.000 4.771 4.771
4.771 0.000 4.771
4.771 4.771 0.000
Ba Fe Os
4 1 1
direct
0.376 0.376 0.376
0.376 0.376 0.873
0.376 0.873 0.376
0.873 0.376 0.376
0.000 0.000 0.000
0.750 0.750 0.750
```

Output
- N(E_F) (states/eV per cell) = 11.1
- ΔH_f (0 K) (eV per atom) = 1.60
- crystal system = cubic


No. 5
VASP calculation (PBE) on a geometry-optimized La3HfFe structure.

```
La3HfFe
1.0
5.292 0.000 0.000
0.000 5.292 0.000
0.000 0.000 5.292
La Hf Fe
3 1 1
direct
0.000 0.000 0.500
0.000 0.500 0.000
0.500 0.000 0.000
0.500 0.500 0.500
0.000 0.000 0.000
```

Output
- N(E_F) (states/eV per cell) = 9.4
- ΔH_f (0 K) (eV per atom) = 0.40
- crystal system = cubic


No. 6
VASP calculation (PBE) on a geometry-optimized HfIr3Pt structure.

```
HfIr3Pt
1.0
4.745 0.000 0.000
0.000 4.745 0.000
0.000 0.000 4.745
Hf Ir Pt
1 3 1
direct
0.000 0.000 0.000
0.000 0.500 0.500
0.500 0.000 0.500
0.500 0.500 0.000
0.500 0.500 0.500
```

Output
- N(E_F) (states/eV per cell) = 7.5
- ΔH_f (0 K) (eV per atom) = 1.49
- crystal system = cubic


No. 7
VASP calculation (PBE) on a geometry-optimized TiNi4 structure.

```
TiNi4
1.0
4.235 0.000 0.000
0.000 4.235 0.000
0.000 0.000 4.235
Ti Ni
1 4
direct
0.000 0.000 0.000
0.000 0.000 0.500
0.000 0.500 0.000
0.500 0.000 0.000
0.500 0.500 0.500
```

Output
- N(E_F) (states/eV per cell) = 2.7
- ΔH_f (0 K) (eV per atom) = 1.07
- crystal system = cubic


No. 8
VASP calculation (PBE) on a geometry-optimized CrHg2Cl structure.

```
CrHg2Cl
1.0
3.677 0.000 0.000
0.000 3.288 0.000
-1.629 0.000 8.528
Cr Hg Cl
1 2 1
direct
0.000 0.000 0.000
0.418 0.500 0.816
0.775 0.000 0.552
0.090 0.500 0.197
```

Output
- N(E_F) (states/eV per cell) = 2.6
- crystal system = monoclinic
- formation energy from raw total energies (eV per atom) = -0.060